Compound: CrGaCuPd
Source: Alexandria
Functional: GGA-PBE
Structure: optimized geometry

abc: 4.296 4.296 4.296
angles: 60.00 60.00 60.00
Each line ends with the local moment (μB).
Atoms (fractional coordinates):
1 Cu 0.750 0.750 0.750  0.06
2 Pd 0.500 0.500 0.500  0.02
3 Cr 0.000 0.000 0.000  3.08
4 Ga 0.250 0.250 0.250  -0.06

Computed properties:
* calculated volume: 56.1 Å³/cell
* theoretical density: 8.6 g cm⁻³
* formation energy: -0.15 eV per atom
* crystal system: cubic

***

Compound: CrGaCuPt
Source: Alexandria
Functional: GGA-PBE
Structure: optimized geometry

abc: 4.297 4.297 4.297
angles: 60.00 60.00 60.00
Each line ends with the local moment (μB).
Atoms (fractional coordinates):
1 Cu 0.500 0.500 0.500  0.06
2 Cr 0.250 0.250 0.250  3.06
3 Pt 0.750 0.750 0.750  0.00
4 Ga 0.000 0.000 0.000  -0.05

Computed properties:
* calculated volume: 56.1 Å³/cell
* theoretical density: 11.3 g cm⁻³
* formation energy: -0.23 eV per atom
* crystal system: cubic

***

Compound: RbCr2GaCu
Source: Alexandria
Functional: GGA-PBE
Structure: optimized geometry

abc: 4.921 6.231 4.921
angles: 90.00 90.00 90.00
Each line ends with the local moment (μB).
Atoms (fractional coordinates):
1 Cr 0.500 0.000 0.000  3.53
2 Cr 0.000 0.000 0.500  3.87
3 Cu 0.500 0.500 0.500  -0.03
4 Ga 0.000 0.000 0.000  -0.13
5 Rb 0.000 0.500 0.000  0.00

Computed properties:
* calculated volume: 150.9 Å³/cell
* theoretical density: 3.6 g cm⁻³
* formation energy: 1.22 eV per atom
* crystal system: tetragonal

***

Compound: CrGaCu2S4
Source: Alexandria
Functional: GGA-PBE
Structure: optimized geometry

abc: 5.376 5.376 6.470
angles: 114.56 114.56 90.00
Each line ends with the local moment (μB).
Atoms (fractional coordinates):
1 Ga 0.500 0.500 0.000  0.05
2 Cr 0.000 0.000 0.000  2.96
3 Cu 0.750 0.250 0.500  -0.07
4 Cu 0.250 0.750 0.500  -0.07
5 S 0.877 0.376 0.253  -0.06
6 S 0.376 0.877 0.253  -0.06
7 S 0.624 0.624 0.747  -0.06
8 S 0.123 0.123 0.747  -0.06

Computed properties:
* calculated volume: 151.2 Å³/cell
* raw formation energy: -3.741 eV/f.u.
* theoretical density: 4.1 g cm⁻³
* crystal system: tetragonal

***

Compound: CrGa2CuS6
Source: Alexandria
Functional: GGA-PBE
Structure: optimized geometry

abc: 6.262 7.867 7.867
angles: 85.56 81.52 81.52
Each line ends with the local moment (μB).
Atoms (fractional coordinates):
1 S 0.889 0.354 0.894  -0.17
2 S 0.867 0.722 0.536  -0.10
3 S 0.133 0.278 0.464  -0.10
4 S 0.111 0.646 0.106  -0.17
5 S 0.611 0.106 0.646  -0.17
6 S 0.120 0.976 0.811  -0.14
7 S 0.367 0.536 0.722  -0.10
8 S 0.389 0.894 0.354  -0.17
9 S 0.380 0.189 0.024  -0.14
10 S 0.633 0.464 0.278  -0.10
11 S 0.880 0.024 0.189  -0.14
12 S 0.620 0.811 0.976  -0.14
13 Cr 0.250 0.908 0.092  2.59
14 Cr 0.750 0.092 0.908  2.59
15 Ga 0.305 0.408 0.223  0.01
16 Ga 0.805 0.223 0.408  0.01
17 Ga 0.695 0.592 0.777  0.01
18 Ga 0.195 0.777 0.592  0.01
19 Cu 0.250 0.260 0.740  -0.32
20 Cu 0.750 0.740 0.260  -0.32

Computed properties:
* calculated volume: 378.6 Å³/cell
* raw formation energy: -4.268 eV/f.u.
* theoretical density: 3.9 g cm⁻³
* crystal system: monoclinic

***

Compound: Cr8Ga3CuSe16
Source: Alexandria
Functional: GGA-PBE
Structure: optimized geometry

abc: 7.527 7.527 10.621
angles: 90.00 90.00 90.00
Each line ends with the local moment (μB).
Atoms (fractional coordinates):
1 Se 0.000 0.726 0.136  -0.07
2 Se 0.500 0.767 0.633  -0.12
3 Se 0.500 0.271 0.114  -0.08
4 Se 0.500 0.729 0.114  -0.08
5 Se 0.000 0.274 0.136  -0.07
6 Se 0.271 0.500 0.886  -0.08
7 Se 0.233 0.500 0.367  -0.12
8 Se 0.767 0.500 0.367  -0.12
9 Se 0.226 0.000 0.386  -0.07
10 Se 0.729 0.500 0.886  -0.08
11 Se 0.726 0.000 0.864  -0.07
12 Se 0.000 0.774 0.614  -0.07
13 Se 0.274 0.000 0.864  -0.07
14 Se 0.774 0.000 0.386  -0.07
15 Se 0.500 0.233 0.633  -0.12
16 Se 0.000 0.226 0.614  -0.07
17 Ga 0.500 0.000 0.253  0.05
18 Ga 0.000 0.000 0.000  0.08
19 Ga 0.000 0.500 0.747  0.05
20 Cr 0.500 0.250 0.871  3.06
21 Cr 0.258 0.000 0.625  3.03
22 Cr 0.750 0.500 0.129  3.06
23 Cr 0.000 0.258 0.375  3.03
24 Cr 0.500 0.750 0.871  3.06
25 Cr 0.742 0.000 0.625  3.03
26 Cr 0.250 0.500 0.129  3.06
27 Cr 0.000 0.742 0.375  3.03
28 Cu 0.500 0.500 0.500  -0.07

Computed properties:
* calculated volume: 601.7 Å³/cell
* raw formation energy: -14.839 eV/f.u.
* theoretical density: 5.4 g cm⁻³
* crystal system: tetragonal

***

Compound: Cr4GaCuSe8
Source: Alexandria
Functional: GGA-PBE
Structure: optimized geometry

abc: 7.460 7.460 7.460
angles: 60.00 60.00 60.00
Each line ends with the local moment (μB).
Atoms (fractional coordinates):
1 Cr 0.121 0.121 0.121  2.96
2 Cr 0.637 0.121 0.121  2.96
3 Cr 0.121 0.121 0.637  2.96
4 Cr 0.121 0.637 0.121  2.96
5 Cu 0.750 0.750 0.750  -0.07
6 Se 0.906 0.365 0.365  -0.06
7 Se 0.883 0.883 0.883  -0.12
8 Se 0.365 0.365 0.365  -0.06
9 Se 0.365 0.906 0.365  -0.06
10 Se 0.365 0.365 0.906  -0.06
11 Se 0.883 0.883 0.350  -0.12
12 Se 0.883 0.350 0.883  -0.12
13 Se 0.350 0.883 0.883  -0.12
14 Ga 0.500 0.500 0.500  0.06

Computed properties:
* calculated volume: 293.5 Å³/cell
* raw formation energy: -7.453 eV/f.u.
* theoretical density: 5.5 g cm⁻³
* crystal system: cubic

***

Compound: Ti2CrGaCu
Source: Alexandria
Functional: GGA-PBE
Structure: optimized geometry

abc: 4.562 4.266 4.562
angles: 90.00 90.00 90.00
Atoms (fractional coordinates):
1 Ti 0.000 0.000 0.500
2 Ti 0.500 0.000 0.000
3 Cu 0.000 0.000 0.000
4 Cr 0.500 0.500 0.500
5 Ga 0.000 0.500 0.000

Computed properties:
* calculated volume: 88.8 Å³/cell
* theoretical density: 5.3 g cm⁻³
* formation energy: 0.90 eV per atom
* crystal system: tetragonal

***

Compound: ZnCrGaCu
Source: Alexandria
Functional: GGA-PBE
Structure: optimized geometry

abc: 4.284 4.284 4.284
angles: 60.00 60.00 60.00
Each line ends with the local moment (μB).
Atoms (fractional coordinates):
1 Ga 0.500 0.500 0.500  -0.06
2 Cu 0.750 0.750 0.750  0.01
3 Zn 0.000 0.000 0.000  -0.01
4 Cr 0.250 0.250 0.250  3.08

Computed properties:
* calculated volume: 55.6 Å³/cell
* theoretical density: 7.5 g cm⁻³
* formation energy: 0.05 eV per atom
* crystal system: cubic

***

Compound: CrCuGe
Source: Alexandria
Functional: GGA-PBE
Structure: optimized geometry

abc: 3.609 3.609 6.256
angles: 90.00 90.00 90.00
Atoms (fractional coordinates):
1 Cr 0.500 0.500 0.500
2 Cr 0.000 0.000 0.500
3 Cu 0.000 0.500 0.810
4 Cu 0.500 0.000 0.190
5 Ge 0.500 0.000 0.798
6 Ge 0.000 0.500 0.202

Computed properties:
* calculated volume: 81.5 Å³/cell
* theoretical density: 7.7 g cm⁻³
* formation energy: 0.11 eV per atom
* crystal system: tetragonal

***

Compound: CrCuGe2
Source: Alexandria
Functional: GGA-PBE
Structure: optimized geometry

abc: 4.425 4.425 4.425
angles: 60.00 60.00 60.00
Each line ends with the local moment (μB).
Atoms (fractional coordinates):
1 Ge 0.250 0.250 0.250  -0.01
2 Ge 0.750 0.750 0.750  -0.01
3 Cu 0.500 0.500 0.500  0.06
4 Cr 0.000 0.000 0.000  3.13

Computed properties:
* calculated volume: 61.2 Å³/cell
* theoretical density: 7.1 g cm⁻³
* formation energy: 0.27 eV per atom
* crystal system: cubic

***

Compound: Cr3CuGe
Source: Alexandria
Functional: GGA-PBE
Structure: optimized geometry

abc: 4.535 4.535 4.535
angles: 90.00 90.00 90.00
Each line ends with the local moment (μB).
Atoms (fractional coordinates):
1 Cr 0.500 0.000 0.000  3.16
2 Cr 0.000 0.000 0.500  3.56
3 Cr 0.000 0.500 0.000  3.13
4 Ge 0.500 0.500 0.500  -0.25
5 Cu 0.000 0.000 0.000  0.24

Computed properties:
* polymorph energy (0 for the lowest one): 0.054 eV/atom
* calculated volume: 93.3 Å³/cell
* theoretical density: 5.2 g cm⁻³
* formation energy: 1.24 eV per atom
* crystal system: cubic